(1)
Compound: ScNbAg2
Source: the Alexandria database
Functional: PBE
Structure: relaxed

Computed properties:
SG: Fm-3m (225)
Spin magnetization (μB/f.u.): 1.18
E_form (eV per atom): 0.18
Calculated density (g/cm³): 7.6
Density of states at the Fermi level (states/eV per cell): 3.96

a = 4.771 Å, b = 4.771 Å, c = 4.771 Å
α = 60.00°, β = 60.00°, γ = 60.00°
Positions (direct):
Sc (0.000, 0.000, 0.000)
Nb (0.500, 0.500, 0.500)
Ag (0.250, 0.250, 0.250)
Ag (0.750, 0.750, 0.750)

---

(2)
Compound: MgMnAg4
Source: the Alexandria database
Functional: PBE
Structure: relaxed

Computed properties:
SG: F-43m (216)
Spin magnetization (μB/f.u.): 4.06
E_form (eV per atom): 0.19
Calculated density (g/cm³): 7.3
Density of states at the Fermi level (states/eV per cell): 3.13

a = 5.470 Å, b = 5.470 Å, c = 5.470 Å
α = 60.00°, β = 60.00°, γ = 60.00°
Positions (direct):
Mg (0.000, 0.000, 0.000)
Mn (0.250, 0.250, 0.250)
Ag (0.125, 0.625, 0.625)
Ag (0.625, 0.125, 0.625)
Ag (0.625, 0.625, 0.125)
Ag (0.625, 0.625, 0.625)

---

(3)
Compound: Sm2Y4Mg
Source: the Alexandria database
Functional: PBE
Structure: relaxed

Computed properties:
SG: C2/m (12)
Spin magnetization (μB/f.u.): 0.00
E_form (eV per atom): 0.09
Calculated density (g/cm³): 5.0
Density of states at the Fermi level (states/eV per cell): 10.02

a = 8.566 Å, b = 8.566 Å, c = 8.649 Å
α = 116.50°, β = 116.50°, γ = 23.50°
Positions (direct):
Sm (0.220, 0.220, 0.141)
Sm (0.780, 0.780, 0.859)
Y (0.078, 0.078, 0.701)
Y (0.367, 0.367, 0.600)
Y (0.633, 0.633, 0.400)
Y (0.922, 0.922, 0.299)
Mg (0.000, 0.000, 0.000)

---

(4)
Compound: Y2Tm3Tl3
Source: the Alexandria database
Functional: PBE
Structure: relaxed

Computed properties:
SG: Pmmm (47)
Spin magnetization (μB/f.u.): 1.85
E_form (eV per atom): -0.23
Calculated density (g/cm³): 9.7
Density of states at the Fermi level (states/eV per cell): 6.17

a = 4.950 Å, b = 4.954 Å, c = 9.028 Å
α = 90.00°, β = 90.00°, γ = 90.00°
Positions (direct):
Y (0.000, 0.000, 0.238)
Y (0.000, 0.000, 0.762)
Tm (0.000, 0.500, 0.500)
Tm (0.500, 0.500, 0.236)
Tm (0.500, 0.500, 0.764)
Tl (0.000, 0.500, 0.000)
Tl (0.500, 0.000, 0.000)
Tl (0.500, 0.000, 0.500)

---

(5)
Compound: Ho5ScP6
Source: the Alexandria database
Functional: PBE
Structure: relaxed

Computed properties:
SG: C2/m (12)
Spin magnetization (μB/f.u.): 0.00
E_form (eV per atom): -1.58
Calculated density (g/cm³): 6.7
Density of states at the Fermi level (states/eV per cell): 1.26

a = 6.845 Å, b = 6.845 Å, c = 6.845 Å
α = 99.61°, β = 99.61°, γ = 119.98°
Positions (direct):
Ho (0.000, 0.000, 0.000)
Ho (0.166, 0.834, 0.500)
Ho (0.332, 0.668, 0.000)
Ho (0.668, 0.332, 0.000)
Ho (0.834, 0.166, 0.500)
Sc (0.500, 0.500, 0.500)
P (0.092, 0.418, 0.255)
P (0.256, 0.256, 0.746)
P (0.418, 0.092, 0.255)
P (0.582, 0.908, 0.745)
P (0.744, 0.744, 0.254)
P (0.908, 0.582, 0.745)

---

(6)
Compound: Ti2HgAs2
Source: the Alexandria database
Functional: PBE
Structure: relaxed

Computed properties:
SG: I4/mmm (139)
Spin magnetization (μB/f.u.): 0.00
E_form (eV per atom): -0.43
Calculated density (g/cm³): 7.3
Density of states at the Fermi level (states/eV per cell): 2.44

a = 6.009 Å, b = 6.009 Å, c = 6.009 Å
α = 136.56°, β = 136.56°, γ = 63.11°
Positions (direct):
Ti (0.250, 0.750, 0.500)
Ti (0.750, 0.250, 0.500)
Hg (0.000, 0.000, 0.000)
As (0.371, 0.371, 0.000)
As (0.629, 0.629, 0.000)